No. 1
First-principles (SCAN) data for a PBEsol-optimized structure of Ag2MoP, as listed in the Alexandria database.

It has space group Imm2 (No. 44), with a = 3.131 Å, b = 4.450 Å, c = 9.132 Å, α = 90.00°, β = 90.00° and γ = 90.00°. Symmetry generates all atoms from Ag at (0.000, 0.000, 0.000), Ag at (0.000, 0.500, 0.210), Mo at (0.000, 0.500, 0.783) and P at (0.000, 0.000, 0.471).

The total DFT energy (no corrections) comes out at -26.50 eV per atom.

***

No. 2
First-principles (SCAN) data for a PBEsol-optimized structure of Ag2MoP, as listed in the Alexandria database.

It has space group Pmmm (No. 47), with a = 2.689 Å, b = 4.518 Å, c = 5.165 Å, α = 90.00°, β = 90.00° and γ = 90.00°. Symmetry generates all atoms from Ag at (0.000, 0.000, 0.247), Mo at (0.500, 0.500, 0.000) and P at (0.500, 0.500, 0.500).

The total DFT energy (no corrections) comes out at -26.46 eV per atom.

***

No. 3
First-principles (SCAN) data for a PBEsol-optimized structure of AgMoPb2, as listed in the Alexandria database.

It has space group P4/mmm (No. 123), with a = 3.580 Å, b = 3.580 Å, c = 6.363 Å, α = 90.00°, β = 90.00° and γ = 90.00°. Symmetry generates all atoms from Ag at (0.000, 0.000, 0.000), Mo at (0.000, 0.000, 0.500) and Pb at (0.500, 0.500, 0.259).

For the energy above the most stable polymorph in this dataset, the calculation gives 0.000 eV per atom.

***

No. 4
First-principles (SCAN) data for a PBEsol-optimized structure of Ag2MoPb, as listed in the Alexandria database.

It has space group P2/m (No. 10), with a = 2.919 Å, b = 5.117 Å, c = 4.954 Å, α = 90.00°, β = 91.96° and γ = 90.00°. Symmetry generates all atoms from Ag at (0.237, 0.000, 0.236), Mo at (0.500, 0.500, 0.000) and Pb at (0.000, 0.500, 0.500).

The total DFT energy (no corrections) comes out at -42.75 eV per atom.

***

No. 5
First-principles (SCAN) data for a PBEsol-optimized structure of Ag2MoPb, as listed in the Alexandria database.

It has space group Cm (No. 8), with a = 10.499 Å, b = 2.902 Å, c = 5.311 Å, α = 90.00°, β = 115.73° and γ = 90.00°. Symmetry generates all atoms from Ag at (0.000, 0.000, 0.000), Ag at (0.248, 0.500, 0.073), Mo at (0.484, 0.000, 0.497) and Pb at (0.236, 0.000, 0.569).

The total DFT energy (no corrections) comes out at -42.80 eV per atom.

***

No. 6
First-principles (SCAN) data for a PBEsol-optimized structure of Ag2MoPb, as listed in the Alexandria database.

It has space group P4/mmm (No. 123), with a = 2.884 Å, b = 2.884 Å, c = 9.083 Å, α = 90.00°, β = 90.00° and γ = 90.00°. Symmetry generates all atoms from Ag at (0.000, 0.000, 0.220), Mo at (0.500, 0.500, 0.000) and Pb at (0.500, 0.500, 0.500).

The total DFT energy (no corrections) comes out at -42.81 eV per atom.

***

No. 7
First-principles (SCAN) data for a PBEsol-optimized structure of AgMoPb2, as listed in the Alexandria database.

It has space group Cmmm (No. 65), with a = 3.728 Å, b = 4.980 Å, c = 9.198 Å, α = 90.00°, β = 90.00° and γ = 90.00°. Symmetry generates all atoms from Ag at (0.000, 0.000, 0.000), Mo at (0.000, 0.000, 0.500) and Pb at (0.000, 0.500, 0.262).

For the energy above the most stable polymorph in this dataset, the calculation gives 0.015 eV per atom.

***

No. 8
First-principles (SCAN) data for a PBEsol-optimized structure of AgMo2Pd, as listed in the Alexandria database.

It has space group Fm-3m (No. 225), with a = 6.290 Å, b = 6.290 Å, c = 6.290 Å, α = 90.00°, β = 90.00° and γ = 90.00°. Symmetry generates all atoms from Ag at (0.000, 0.000, 0.000), Mo at (0.250, 0.250, 0.250) and Pd at (0.000, 0.000, 0.500).

The total DFT energy (no corrections) comes out at -32.66 eV per atom.

***

No. 9
First-principles (SCAN) data for a PBEsol-optimized structure of AgMo2Pt, as listed in the Alexandria database.

It has space group Cmmm (No. 65), with a = 5.370 Å, b = 8.423 Å, c = 2.686 Å, α = 90.00°, β = 90.00° and γ = 90.00°. Symmetry generates all atoms from Ag at (0.000, 0.000, 0.000), Mo at (0.250, 0.250, 0.500) and Pt at (0.000, 0.500, 0.000).

For the energy above the most stable polymorph in this dataset, the calculation gives 0.000 eV per atom.

***

No. 10
First-principles (SCAN) data for a PBEsol-optimized structure of AgMo2Pt, as listed in the Alexandria database.

It has space group I-4m2 (No. 119), with a = 3.972 Å, b = 3.972 Å, c = 7.769 Å, α = 90.00°, β = 90.00° and γ = 90.00°. Symmetry generates all atoms from Ag at (0.000, 0.000, 0.000), Mo at (0.000, 0.000, 0.500), Mo at (0.000, 0.500, 0.250) and Pt at (0.000, 0.500, 0.750).

For the energy above the most stable polymorph in this dataset, the calculation gives 0.070 eV per atom.

***

No. 11
First-principles (SCAN) data for a PBEsol-optimized structure of AgMoPt2, as listed in the Alexandria database.

It has space group P4/mmm (No. 123), with a = 2.781 Å, b = 2.781 Å, c = 7.898 Å, α = 90.00°, β = 90.00° and γ = 90.00°. Symmetry generates all atoms from Ag at (0.000, 0.000, 0.000), Mo at (0.000, 0.000, 0.500) and Pt at (0.500, 0.500, 0.265).

For the energy above the most stable polymorph in this dataset, the calculation gives 0.000 eV per atom.

***

No. 12
First-principles (SCAN) data for a PBEsol-optimized structure of AgMoPt2, as listed in the Alexandria database.

It has space group Cm (No. 8), with a = 9.288 Å, b = 2.748 Å, c = 4.831 Å, α = 90.00°, β = 99.17° and γ = 90.00°. Symmetry generates all atoms from Ag at (0.000, 0.000, 0.000), Mo at (0.244, 0.000, 0.716), Pt at (0.001, 0.500, 0.511) and Pt at (0.253, 0.500, 0.227).

For the energy above the most stable polymorph in this dataset, the calculation gives 0.207 eV per atom.